Record 1
# Ho3Zn7Ga4 (GGA-PBE, relaxed)
data_Ho3Zn7Ga4
_chemical_formula_sum 'Ho6 Zn14 Ga8'
_cell_length_a 15.6621
_cell_length_b 4.2650
_cell_length_c 9.4311
_cell_angle_alpha 90.00
_cell_angle_beta 126.81
_cell_angle_gamma 90.00
_symmetry_space_group_name_H-M 'C 1 2/m 1'
_symmetry_Int_Tables_number 12
_symmetry_space_group_name_Hall '-C 2y'
loop_
_atom_site_label
_atom_site_type_symbol
_atom_site_fract_x
_atom_site_fract_y
_atom_site_fract_z
Ho1 Ho 0.0000 0.0000 0.0000
Ho2 Ho 0.2012 0.5000 0.7020
Zn1 Zn 0.0000 0.0000 0.5000
Zn2 Zn 0.0020 0.5000 0.3157
Zn3 Zn 0.1447 0.0000 0.4241
Zn4 Zn 0.1545 0.5000 0.0176
Ga1 Ga 0.1419 0.0000 0.8607
Ga2 Ga 0.1535 0.5000 0.2822
# Uncorrected energy, eV per atom: -2.908
# Energy of formation, meV/atom: -425
# Total moment, μB per cell: 0.0

=====

Record 2
# LaPm2CdO (GGA-PBE, relaxed)
data_LaPm2CdO
_chemical_formula_sum 'La1 Pm2 Cd1 O1'
_cell_length_a 4.9718
_cell_length_b 4.9718
_cell_length_c 5.0492
_cell_angle_alpha 90.00
_cell_angle_beta 90.00
_cell_angle_gamma 90.00
_symmetry_space_group_name_H-M 'P 4/m m m'
_symmetry_Int_Tables_number 123
_symmetry_space_group_name_Hall '-P 4 2'
loop_
_atom_site_label
_atom_site_type_symbol
_atom_site_fract_x
_atom_site_fract_y
_atom_site_fract_z
La1 La 0.0000 0.0000 0.0000
Pm1 Pm 0.0000 0.5000 0.5000
Cd1 Cd 0.5000 0.5000 0.0000
O1 O 0.0000 0.0000 0.5000
# Uncorrected energy, eV per atom: -5.352
# Raw formation energy, eV per atom: -1.291
# Total moment, μB per cell: 0.0